<w>
# Rb2Co, relaxed, DFT PBE
# crystal system: cubic
# size of the total moment: 4.1 Bohr magnetons per cell
data_Rb2Co
_chemical_formula_sum 'Rb4 Co2'
_cell_length_a 7.4149
_cell_length_b 7.4149
_cell_length_c 7.4149
_cell_angle_alpha 60.00
_cell_angle_beta 60.00
_cell_angle_gamma 60.00
_symmetry_space_group_name_H-M 'P 1'
_symmetry_Int_Tables_number 1
_symmetry_space_group_name_Hall 'P 1'
loop_
_atom_site_label
_atom_site_type_symbol
_atom_site_fract_x
_atom_site_fract_y
_atom_site_fract_z
_atom_site_occupancy
Rb1 Rb 0.0000 0.0000 0.0000 1
Rb2 Rb 0.0000 0.0000 0.5000 1
Rb3 Rb 0.0000 0.5000 0.0000 1
Rb4 Rb 0.5000 0.0000 0.0000 1
Co1 Co 0.3750 0.3750 0.3750 1
Co2 Co 0.6250 0.6250 0.6250 1

<x>
# Rb2Co, relaxed, DFT PBE
# crystal system: cubic
# size of the total moment: 1.2 Bohr magnetons per cell
data_Rb2Co
_chemical_formula_sum 'Rb2 Co1'
_cell_length_a 5.9065
_cell_length_b 5.9065
_cell_length_c 5.9065
_cell_angle_alpha 60.00
_cell_angle_beta 60.00
_cell_angle_gamma 60.00
_symmetry_space_group_name_H-M 'P 1'
_symmetry_Int_Tables_number 1
_symmetry_space_group_name_Hall 'P 1'
loop_
_atom_site_label
_atom_site_type_symbol
_atom_site_fract_x
_atom_site_fract_y
_atom_site_fract_z
_atom_site_occupancy
Rb1 Rb 0.2500 0.2500 0.2500 1
Rb2 Rb 0.7500 0.7500 0.7500 1
Co1 Co 0.0000 0.0000 0.0000 1

Which is most stable, and by how much? <x>, by 32.5 kJ/mol of atoms.

<w>
# Rb3Co, relaxed, DFT PBE
# crystal system: cubic
# size of the total moment: 1.8 Bohr magnetons per cell
data_Rb3Co
_chemical_formula_sum 'Rb3 Co1'
_cell_length_a 6.7361
_cell_length_b 6.7361
_cell_length_c 6.7361
_cell_angle_alpha 60.00
_cell_angle_beta 60.00
_cell_angle_gamma 60.00
_symmetry_space_group_name_H-M 'P 1'
_symmetry_Int_Tables_number 1
_symmetry_space_group_name_Hall 'P 1'
loop_
_atom_site_label
_atom_site_type_symbol
_atom_site_fract_x
_atom_site_fract_y
_atom_site_fract_z
_atom_site_occupancy
Rb1 Rb 0.0000 0.0000 0.0000 1
Rb2 Rb 0.2500 0.2500 0.2500 1
Rb3 Rb 0.7500 0.7500 0.7500 1
Co1 Co 0.5000 0.5000 0.5000 1

<x>
# Rb3Co, relaxed, DFT PBE
# crystal system: orthorhombic
# size of the total moment: 3.9 Bohr magnetons per cell
data_Rb3Co
_chemical_formula_sum 'Rb6 Co2'
_cell_length_a 6.4103
_cell_length_b 6.4103
_cell_length_c 11.5176
_cell_angle_alpha 90.00
_cell_angle_beta 90.00
_cell_angle_gamma 119.44
_symmetry_space_group_name_H-M 'P 1'
_symmetry_Int_Tables_number 1
_symmetry_space_group_name_Hall 'P 1'
loop_
_atom_site_label
_atom_site_type_symbol
_atom_site_fract_x
_atom_site_fract_y
_atom_site_fract_z
_atom_site_occupancy
Rb1 Rb 0.0027 0.9973 0.7500 1
Rb2 Rb 0.3334 0.6666 0.0721 1
Rb3 Rb 0.3334 0.6666 0.4279 1
Rb4 Rb 0.6666 0.3334 0.5721 1
Rb5 Rb 0.6666 0.3334 0.9279 1
Rb6 Rb 0.9973 0.0027 0.2500 1
Co1 Co 0.3319 0.6681 0.7500 1
Co2 Co 0.6681 0.3319 0.2500 1

<y>
# Rb3Co, relaxed, DFT PBE
# crystal system: cubic
# size of the total moment: 1.9 Bohr magnetons per cell
data_Rb3Co
_chemical_formula_sum 'Rb3 Co1'
_cell_length_a 5.9802
_cell_length_b 5.9802
_cell_length_c 5.9802
_cell_angle_alpha 90.00
_cell_angle_beta 90.00
_cell_angle_gamma 90.00
_symmetry_space_group_name_H-M 'P 1'
_symmetry_Int_Tables_number 1
_symmetry_space_group_name_Hall 'P 1'
loop_
_atom_site_label
_atom_site_type_symbol
_atom_site_fract_x
_atom_site_fract_y
_atom_site_fract_z
_atom_site_occupancy
Rb1 Rb 0.0000 0.0000 0.5000 1
Rb2 Rb 0.0000 0.5000 0.0000 1
Rb3 Rb 0.5000 0.0000 0.0000 1
Co1 Co 0.5000 0.5000 0.5000 1

<z>
# Rb3Co, relaxed, DFT PBE
# crystal system: hexagonal
# size of the total moment: 3.1 Bohr magnetons per cell
data_Rb3Co
_chemical_formula_sum 'Rb6 Co2'
_cell_length_a 8.6963
_cell_length_b 8.6963
_cell_length_c 6.4079
_cell_angle_alpha 90.00
_cell_angle_beta 90.00
_cell_angle_gamma 120.00
_symmetry_space_group_name_H-M 'P 1'
_symmetry_Int_Tables_number 1
_symmetry_space_group_name_Hall 'P 1'
loop_
_atom_site_label
_atom_site_type_symbol
_atom_site_fract_x
_atom_site_fract_y
_atom_site_fract_z
_atom_site_occupancy
Rb1 Rb 0.1811 0.3622 0.2500 1
Rb2 Rb 0.1811 0.8189 0.2500 1
Rb3 Rb 0.3622 0.1811 0.7500 1
Rb4 Rb 0.6378 0.8189 0.2500 1
Rb5 Rb 0.8189 0.1811 0.7500 1
Rb6 Rb 0.8189 0.6378 0.7500 1
Co1 Co 0.3333 0.6667 0.7500 1
Co2 Co 0.6667 0.3333 0.2500 1

Which is most stable, and by how much? <x>, by 6.9 kJ/mol of atoms.